No. 1
Computed, not measured: Tb9Tm4Tl11 after structural relaxation at the PBE-GGA level of DFT.

Results
For the size of the total moment, the calculation gives 0.00 μB per cell. For the formation energy, the calculation gives -0.263 eV per atom. The space group is Cmmm, No. 65. For the calculated volume, the calculation gives 27.7 A^3/atom.

a b c (Å): 14.0287 14.0287 3.5863
angles (deg): 90.00 90.00 109.67
Fractional positions:
Tb1 0.0000 0.0000 0.0000
Tb2 0.1149 0.6570 0.0000
Tb3 0.2959 0.4804 0.0000
Tb4 0.3430 0.8851 0.0000
Tb5 0.4804 0.2959 0.0000
Tb6 0.5196 0.7041 0.0000
Tb7 0.6570 0.1149 0.0000
Tb8 0.7041 0.5196 0.0000
Tb9 0.8851 0.3430 0.0000
Tm1 0.0832 0.2467 0.0000
Tm2 0.2467 0.0832 0.0000
Tm3 0.7533 0.9168 0.0000
Tm4 0.9168 0.7533 0.0000
Tl1 0.0892 0.4468 0.5000
Tl2 0.1231 0.8769 0.5000
Tl3 0.2813 0.2813 0.5000
Tl4 0.3154 0.6846 0.5000
Tl5 0.4468 0.0892 0.5000
Tl6 0.5000 0.5000 0.5000
Tl7 0.5532 0.9108 0.5000
Tl8 0.6846 0.3154 0.5000
Tl9 0.7187 0.7187 0.5000
Tl10 0.8769 0.1231 0.5000
Tl11 0.9108 0.5532 0.5000

=====

No. 2
Computed, not measured: Th2NiGe3Rh4 after structural relaxation at the PBE-GGA level of DFT.

Results
For the size of the total moment, the calculation gives 0.00 μB per cell. For the formation energy, the calculation gives -0.803 eV per atom. The space group is P-4m2, No. 115. For the calculated volume, the calculation gives 18.2 A^3/atom.

a b c (Å): 4.1707 4.1707 10.4694
angles (deg): 90.00 90.00 90.00
Fractional positions:
Th1 0.0000 0.5000 0.2372
Th2 0.5000 0.0000 0.7628
Ni1 0.5000 0.5000 0.0000
Ge1 0.0000 0.0000 0.0000
Ge2 0.0000 0.5000 0.6289
Ge3 0.5000 0.0000 0.3711
Rh1 0.0000 0.0000 0.5000
Rh2 0.0000 0.5000 0.8628
Rh3 0.5000 0.0000 0.1372
Rh4 0.5000 0.5000 0.5000

=====

No. 3
Computed, not measured: LaPrSmHg after structural relaxation at the PBE-GGA level of DFT.

Results
For the size of the total moment, the calculation gives 0.19 μB per cell. As for the energy relative to the lowest polymorph listed for this composition: 153 meV per atom. For the formation energy, the calculation gives -0.082 eV per atom. The space group is F-43m, No. 216. For the calculated volume, the calculation gives 31.2 A^3/atom.

a b c (Å): 7.9341 7.9341 7.9341
angles (deg): 90.00 90.00 90.00
Fractional positions:
La1 0.0000 0.0000 0.0000
La2 0.0000 0.5000 0.5000
La3 0.5000 0.0000 0.5000
La4 0.5000 0.5000 0.0000
Pr1 0.0000 0.0000 0.5000
Pr2 0.0000 0.5000 0.0000
Pr3 0.5000 0.0000 0.0000
Pr4 0.5000 0.5000 0.5000
Sm1 0.2500 0.2500 0.7500
Sm2 0.2500 0.7500 0.2500
Sm3 0.7500 0.2500 0.2500
Sm4 0.7500 0.7500 0.7500
Hg1 0.2500 0.2500 0.2500
Hg2 0.2500 0.7500 0.7500
Hg3 0.7500 0.2500 0.7500
Hg4 0.7500 0.7500 0.2500